Entry 1:
An optimized crystal structure of Sm11Er9Th4, computed with PBE.

Output
The formation energy is 2.744 eV per formula unit. As for the crystal system: orthorhombic.

Geometry as extended XYZ:
```
24
Lattice="3.698 0.000 0.000 0.000 14.060 -5.966 0.000 0.039 15.273" Properties=species:S:1:pos:R:3 pbc="T T T"
Th 1.849 3.423 5.359
Er 1.849 2.311 8.726
Er 1.849 0.938 2.835
Sm 0.000 11.841 -2.605
Sm 0.000 8.926 1.811
Sm 0.000 5.741 -1.736
Sm 0.000 5.173 7.496
Sm 0.000 2.258 11.912
Sm 0.000 0.000 0.000
Er 1.849 11.124 9.559
Er 1.849 5.167 10.611
Sm 0.000 0.660 5.962
Er 1.849 2.975 -0.251
Sm 0.000 10.005 6.605
Er 1.849 11.788 0.581
Th 1.849 7.826 8.266
Th 1.849 10.676 3.948
Er 1.849 7.050 4.654
Sm 0.000 13.439 3.346
Th 1.849 6.273 1.041
Sm 0.000 8.358 11.043
Er 1.849 13.161 6.473
Sm 0.000 4.094 2.702
Er 1.849 8.933 -1.304
```



Entry 2:
An optimized crystal structure of Sm8ErTh2, computed with PBE.

Output
The formation energy is 2.176 eV per formula unit. As for the crystal system: monoclinic.

Geometry as extended XYZ:
```
11
Lattice="-4.961 3.165 -1.200 -3.315 -5.767 3.790 5.048 5.390 5.723" Properties=species:S:1:pos:R:3 pbc="T T T"
Sm -2.187 -3.694 4.652
Sm -2.524 2.956 5.906
Er -2.481 1.582 -0.600
Sm -1.041 6.481 3.661
Th 0.559 2.511 4.310
Sm -0.704 -0.169 2.406
Th -3.787 0.276 4.002
Sm -3.340 -2.436 1.852
Sm -4.937 -0.166 0.737
Sm -1.125 -0.492 6.000
Sm -2.103 3.279 2.313
```



Entry 3:
An optimized crystal structure of Sm2Er12Th5, computed with PBE.

Output
The formation energy is 3.049 eV per formula unit. As for the relative energy among the computed polymorphs: 0 meV per atom. As for the crystal system: monoclinic.

Geometry as extended XYZ:
```
19
Lattice="6.951 0.000 0.000 -3.475 10.874 0.805 0.000 2.165 8.333" Properties=species:S:1:pos:R:3 pbc="T T T"
Er -1.682 9.335 3.807
Th 0.000 1.082 4.166
Er -1.725 8.223 7.062
Er 1.750 4.815 2.076
Th 0.000 7.755 1.326
Er 1.725 8.223 7.062
Er 0.000 5.268 7.901
Er 3.475 7.770 1.236
Er 5.201 4.815 2.076
Er 0.000 11.343 6.474
Th 3.475 5.283 7.812
Er 1.793 3.703 5.331
Er 1.682 9.335 3.807
Sm 5.189 0.000 0.000
Er 5.157 3.703 5.331
Er 3.475 1.695 2.664
Th 0.000 6.495 4.621
Sm 1.761 0.000 0.000
Th 3.475 6.543 4.517
```



Entry 4:
An optimized crystal structure of SmEr4Th, computed with PBE.

Output
The formation energy is 1.972 eV per formula unit. As for the relative energy among the computed polymorphs: 303 meV per atom. As for the crystal system: cubic.

Geometry as extended XYZ:
```
6
Lattice="6.530 0.000 0.000 3.265 5.655 0.000 3.265 1.885 5.331" Properties=species:S:1:pos:R:3 pbc="T T T"
Er 6.530 1.892 3.330
Th 3.265 1.885 1.333
Er 4.903 4.709 3.330
Er 6.530 3.770 0.673
Sm 0.000 0.000 0.000
Er 8.156 4.709 3.330
```



Entry 5:
An optimized crystal structure of Sm10Er4Th, computed with PBE.

Output
The formation energy is 7.241 eV per formula unit. As for the crystal system: tetragonal.

Geometry as extended XYZ:
```
15
Lattice="9.922 0.000 4.480 4.961 7.018 2.240 2.073 0.000 8.637" Properties=species:S:1:pos:R:3 pbc="T T T"
Sm 12.874 4.610 6.600
Er 12.972 5.463 10.952
Th 0.000 0.000 0.000
Er 7.673 2.375 9.459
Sm 4.081 2.408 8.757
Sm 10.576 2.408 11.689
Sm 10.958 3.509 8.798
Sm 10.644 0.717 7.449
Sm 9.738 6.301 9.456
Sm 6.379 4.610 3.668
Sm 7.217 0.717 5.901
Sm 5.997 3.509 6.558
Er 3.983 1.555 4.405
Sm 6.311 6.301 7.908
Er 9.282 4.643 5.898
```



Entry 6:
An optimized crystal structure of Sm7Er3Th, computed with PBE.

Output
The formation energy is 2.131 eV per formula unit. As for the relative energy among the computed polymorphs: 46 meV per atom. As for the crystal system: trigonal.

Geometry as extended XYZ:
```
11
Lattice="-8.254 2.508 0.607 -1.967 -5.465 -4.168 0.269 -0.832 7.095" Properties=species:S:1:pos:R:3 pbc="T T T"
Er -6.310 1.515 4.018
Er -7.281 -1.183 1.961
Sm -4.358 -0.837 0.067
Sm -1.073 -1.326 5.253
Er -7.148 -1.593 5.463
Th -4.196 -1.246 3.614
Sm -1.205 -0.918 1.773
Sm -2.038 -4.007 3.209
Sm -5.334 -3.550 -2.002
Sm -2.170 -3.633 -0.344
Sm -5.201 -3.963 1.520
```



Entry 7:
An optimized crystal structure of Sm3Er5Th2, computed with PBE.

Output
The formation energy is 4.449 eV per formula unit. As for the crystal system: orthorhombic.

Geometry as extended XYZ:
```
20
Lattice="-5.585 4.759 6.615 5.585 -4.759 6.615 5.585 4.759 -6.615" Properties=species:S:1:pos:R:3 pbc="T T T"
Th 0.000 3.809 5.142
Er 2.792 4.759 3.314
Er 2.792 4.759 0.000
Sm 0.000 2.391 1.683
Er 2.792 0.000 6.615
Th 0.000 0.950 11.757
Sm 0.000 2.369 8.298
Sm 5.585 2.391 -1.683
Th 5.585 0.950 1.474
Er 2.792 0.000 3.301
Sm 2.792 0.000 0.000
Sm 5.585 2.368 4.933
Er 5.585 -0.777 4.934
Er 8.377 0.000 3.301
Sm 8.377 0.000 0.000
Er -2.792 4.759 3.314
Er 0.000 5.536 1.682
Th 5.585 3.809 -5.142
Er 0.000 0.777 4.934
Er 5.585 3.982 1.682
```



Entry 8:
An optimized crystal structure of Sm7Er3Th, computed with PBE.

Output
The formation energy is 1.629 eV per formula unit. As for the relative energy among the computed polymorphs: 0 meV per atom. As for the crystal system: monoclinic.

Geometry as extended XYZ:
```
22
Lattice="-7.409 -5.782 -3.264 9.668 1.513 -1.790 0.346 -3.427 12.958" Properties=species:S:1:pos:R:3 pbc="T T T"
Sm -2.112 -2.490 -1.267
Er 4.925 -0.101 2.344
Sm -0.976 -5.852 2.219
Th 1.130 -2.134 -2.527
Er -2.320 -7.596 5.560
Sm 1.385 -4.696 7.197
Sm -5.819 -6.000 0.099
Er -3.621 -3.751 1.607
Sm -0.804 -7.565 8.695
Er 0.000 0.000 0.000
Th 1.303 -3.848 3.952
Sm 3.410 -0.131 -0.791
Sm 8.425 -1.696 7.805
Sm 8.255 0.012 1.313
Sm 4.545 -3.494 2.695
Sm 1.221 -3.000 0.707
Sm -1.939 -4.202 5.209
Sm 4.718 -5.206 9.171
Er 0.173 -1.714 6.479
Er 6.226 -3.945 6.297
Sm 3.582 -1.844 5.685
Sm -5.650 -7.709 6.591
```



Entry 9:
An optimized crystal structure of Sm3Er7Th, computed with PBE.

Output
The formation energy is 1.867 eV per formula unit. As for the relative energy among the computed polymorphs: 0 meV per atom. As for the crystal system: monoclinic.

Geometry as extended XYZ:
```
22
Lattice="9.457 -2.643 1.240 -5.739 7.968 1.240 1.523 2.181 12.872" Properties=species:S:1:pos:R:3 pbc="T T T"
Sm 0.761 1.091 6.436
Er 4.960 1.913 13.210
Sm -1.724 5.619 10.270
Er 1.046 6.686 8.573
Er 0.087 5.315 13.210
Er -0.675 4.221 6.780
Er 2.240 3.208 4.458
Er 3.001 4.297 10.894
Er 8.528 -1.179 4.456
Sm 0.000 0.000 0.000
Sm -0.627 7.189 5.083
Er 5.154 2.191 2.143
Er -4.045 7.600 4.456
Er -3.287 8.685 10.897
Th 2.621 3.753 7.676
Sm 6.965 1.887 5.083
Th 1.859 2.662 1.240
Er 0.281 5.593 2.143
Er 9.286 -0.095 10.897
Er 5.917 3.285 8.573
Sm 5.868 0.317 10.270
Er 4.195 0.820 6.780
```



Entry 10:
An optimized crystal structure of Sm4Er5Th3, computed with PBE.

Output
The formation energy is 3.607 eV per formula unit. As for the crystal system: monoclinic.

Geometry as extended XYZ:
```
12
Lattice="-5.567 1.160 -1.908 -3.998 -7.187 -2.134 -5.073 3.505 7.503" Properties=species:S:1:pos:R:3 pbc="T T T"
Th -4.535 -1.841 2.685
Th -6.988 -3.365 -0.511
Er -11.019 0.121 3.940
Er -3.618 -2.643 -0.480
Th -7.649 0.843 3.972
Er -11.330 -3.260 2.791
Sm -8.684 -2.095 5.208
Sm -5.953 -0.427 -1.747
Er -7.319 -1.261 1.730
Sm -4.247 2.067 4.220
Sm -10.390 -4.589 -0.759
Er -3.307 0.738 0.669
```



Entry 11:
An optimized crystal structure of Sm5Er4Th, computed with PBE.

Output
The formation energy is 1.585 eV per formula unit. As for the relative energy among the computed polymorphs: 118 meV per atom. As for the crystal system: monoclinic.

Geometry as extended XYZ:
```
10
Lattice="3.562 0.000 0.000 0.000 10.386 1.503 -1.781 -0.238 9.041" Properties=species:S:1:pos:R:3 pbc="T T T"
Er 0.000 2.464 1.221
Er 1.781 0.797 3.405
Er 1.781 7.684 9.323
Er 0.000 9.351 7.139
Sm 1.781 2.146 6.856
Sm 0.000 8.002 3.688
Sm 1.781 6.031 6.508
Th 1.781 0.000 0.000
Sm 1.781 5.193 0.751
Sm 0.000 4.117 4.036
```



Entry 12:
An optimized crystal structure of SmEr2Th2, computed with PBE.

Output
The formation energy is 0.083 eV per formula unit. As for the relative energy among the computed polymorphs: 0 meV per atom. As for the crystal system: trigonal.

Geometry as extended XYZ:
```
5
Lattice="3.544 0.000 0.439 1.745 3.085 0.439 -0.007 -0.004 14.591" Properties=species:S:1:pos:R:3 pbc="T T T"
Er 3.167 1.847 3.483
Er 2.115 1.233 11.985
Th 1.052 0.613 6.040
Th 4.230 2.467 9.429
Sm 0.000 0.000 0.000
```



Entry 13:
An optimized crystal structure of Sm3Er8Th3, computed with PBE.

Output
The formation energy is 2.164 eV per formula unit. As for the crystal system: orthorhombic.

Geometry as extended XYZ:
```
14
Lattice="5.508 0.000 1.107 2.717 9.199 0.738 1.052 -3.179 9.018" Properties=species:S:1:pos:R:3 pbc="T T T"
Er 7.287 5.251 6.506
Er 6.943 2.687 8.221
Er 3.990 1.188 8.656
Th 1.362 -0.875 7.477
Sm 5.173 1.159 2.772
Sm 4.638 3.010 5.432
Er 4.540 -0.717 5.919
Er 5.286 4.832 2.207
Th 2.754 0.000 0.553
Er 1.989 0.769 4.358
Er 4.736 6.737 4.945
Er 2.334 3.333 2.643
Sm 4.104 4.861 8.092
Th 2.407 6.895 2.280
```



Entry 14:
An optimized crystal structure of Sm6Er8Th, computed with PBE.

Output
The formation energy is 1.863 eV per formula unit. As for the crystal system: trigonal.

Geometry as extended XYZ:
```
15
Lattice="0.440 -5.289 6.832 -1.470 -8.405 -1.431 6.814 -5.313 0.428" Properties=species:S:1:pos:R:3 pbc="T T T"
Er 5.048 -8.741 5.294
Er 0.737 -10.266 0.535
Sm 2.174 -14.079 4.179
Er 2.446 -8.039 2.465
Th 0.000 0.000 0.000
Sm 4.967 -12.732 5.799
Sm 3.610 -4.928 1.650
Sm 0.818 -6.275 0.030
Er 5.808 -8.284 1.965
Sm 5.187 -13.694 2.443
Sm 0.598 -5.313 3.385
Er -0.023 -10.723 3.864
Er 3.338 -10.968 3.364
Er 4.132 -10.622 0.068
Er 1.653 -8.384 5.761
```



Entry 15:
An optimized crystal structure of Sm4Er6Th, computed with PBE.

Output
The formation energy is 1.449 eV per formula unit. As for the crystal system: orthorhombic.

Geometry as extended XYZ:
```
22
Lattice="5.714 0.000 0.000 -2.857 4.826 0.000 0.000 0.000 25.675" Properties=species:S:1:pos:R:3 pbc="T T T"
Sm 0.000 4.613 3.154
Er 2.857 3.063 2.639
Er 0.000 1.416 4.713
Er 2.857 3.063 10.199
Er 2.857 3.410 17.551
Th 2.857 3.037 6.419
Sm 0.000 1.544 11.737
Er 0.000 1.763 15.477
Sm 2.857 3.282 13.939
Er 0.000 4.625 6.419
Er 2.857 3.410 20.962
Er 2.857 0.000 0.000
Er 2.857 0.000 12.838
Th 0.000 1.789 19.257
Er 0.000 1.416 8.124
Sm 0.000 1.544 1.101
Sm 2.857 0.212 22.522
Sm 2.857 0.212 15.991
Sm 0.000 4.613 9.684
Er 0.000 1.763 23.037
Sm 2.857 3.282 24.575
Er 2.857 0.201 19.257
```



Entry 16:
An optimized crystal structure of Sm6Er2Th, computed with PBE.

Output
The formation energy is 0.526 eV per formula unit. As for the crystal system: hexagonal.

Geometry as extended XYZ:
```
9
Lattice="-0.654 3.437 0.849 -2.556 -2.491 0.479 8.959 -4.423 24.805" Properties=species:S:1:pos:R:3 pbc="T T T"
Er 1.029 -1.972 8.773
Er 4.087 -3.481 17.237
Sm 5.075 -2.506 14.050
Th 0.000 0.000 0.000
Sm 3.885 -1.918 10.755
Sm 1.986 -0.980 5.498
Sm 6.974 -3.443 19.307
Sm 6.054 -4.452 22.683
Sm -0.938 -1.001 3.327
```



Entry 17:
An optimized crystal structure of SmEr6Th, computed with PBE.

Output
The formation energy is 0.230 eV per formula unit. As for the crystal system: tetragonal.

Geometry as extended XYZ:
```
8
Lattice="4.996 0.000 0.000 0.000 4.996 0.000 0.000 0.000 9.976" Properties=species:S:1:pos:R:3 pbc="T T T"
Er 2.498 0.000 2.523
Er 2.498 2.498 0.000
Er 2.498 0.000 7.452
Er 0.000 2.498 7.452
Sm 0.000 0.000 0.000
Er 2.498 2.498 4.988
Th 0.000 0.000 4.988
Er 0.000 2.498 2.523
```



Entry 18:
An optimized crystal structure of SmEr4Th2, computed with PBE.

Output
The formation energy is 0.841 eV per formula unit. As for the relative energy among the computed polymorphs: 0 meV per atom. As for the crystal system: triclinic.

Geometry as extended XYZ:
```
7
Lattice="3.453 0.201 0.238 -1.497 7.627 -3.496 0.565 -0.875 8.848" Properties=species:S:1:pos:R:3 pbc="T T T"
Er -0.936 6.128 -0.389
Er 0.476 5.082 2.660
Er 3.456 0.825 5.979
Sm 0.000 0.000 0.000
Th 0.861 3.146 -0.187
Th 1.659 3.807 5.777
Er 2.045 1.871 2.930
```



Entry 19:
An optimized crystal structure of SmEr5Th, computed with PBE.

Output
The formation energy is 1.340 eV per formula unit. As for the crystal system: monoclinic.

Geometry as extended XYZ:
```
14
Lattice="-0.105 5.823 -1.853 -8.488 3.466 1.292 2.162 4.245 7.163" Properties=species:S:1:pos:R:3 pbc="T T T"
Th 1.081 2.122 3.581
Er -3.505 8.065 6.203
Sm 0.273 3.987 0.921
Er -1.558 6.064 3.422
Er -4.017 10.642 3.611
Sm -6.703 9.547 5.681
Er -2.926 5.469 0.399
Er -0.624 6.476 6.869
Er -5.806 7.058 -0.268
Er -2.414 2.892 2.990
Er -5.447 4.363 2.425
Er -0.983 9.171 4.176
Th 0.000 0.000 0.000
Er -4.872 7.470 3.180
```



no.,VASP energy (eV/f.u.)
1,-119.91
2,-54.98
3,-98.24
4,-28.42
5,-65.62
6,-52.01
7,-47.36
8,-52.51
9,-51.65
10,-60.34
11,-47.68
12,-28.60
13,-70.76
14,-70.37
15,-52.22
16,-44.33
17,-39.29
18,-36.97
19,-33.61